DFT (PBE-GGA) results for Rb2Cu2GeI6 after structural relaxation.

Uncorrected energy in eV per atom: -2.83

POSCAR file:
```
Rb2Cu2GeI6
1.0
7.068 -4.190 0.000
7.068 4.190 0.000
-4.471 0.000 7.712
Rb Cu Ge I
2 2 1 6
direct
0.218 0.218 0.208 Rb
0.782 0.782 0.792 Rb
0.448 0.448 0.736 Cu
0.552 0.552 0.264 Cu
0.000 0.000 0.500 Ge
0.192 0.710 0.213 I
0.245 0.245 0.640 I
0.290 0.808 0.787 I
0.710 0.192 0.213 I
0.755 0.755 0.360 I
0.808 0.290 0.787 I
```